1.
This record from the Alexandria database describes a geometry-optimized NpAs2IrPd2 structure. The functional is PBE-GGA.

Properties
* density: 12.3 g/cm3
* size of the total moment: 3.37 μB/f.u.
* space group: Pmc2_1 (26)
* formation energy from the elements: -215 kJ/mol of formula units
* energy: -0.26778 hartree per atom

The structure in CIF format:
```
data_NpAs2IrPd2
_cell_length_a 3.938
_cell_length_b 6.693
_cell_length_c 8.107
_cell_angle_alpha 90.00
_cell_angle_beta 90.00
_cell_angle_gamma 90.00
_symmetry_space_group_name_H-M 'P 1'
_symmetry_Int_Tables_number 1
loop_
_symmetry_equiv_pos_as_xyz
'x,y,z'
loop_
_atom_site_label
_atom_site_type_symbol
_atom_site_fract_x
_atom_site_fract_y
_atom_site_fract_z
As1 As 0.500 0.782 0.655
Pd1 Pd 0.000 0.863 0.845
Np1 Np 0.000 0.477 0.566
Ir1 Ir 0.500 0.178 0.663
Pd2 Pd 0.500 0.512 0.892
As2 As 0.000 0.234 0.874
Pd3 Pd 0.000 0.363 0.155
Ir2 Ir 0.500 0.678 0.337
As3 As 0.500 0.282 0.345
Pd4 Pd 0.500 0.012 0.108
As4 As 0.000 0.734 0.126
Np2 Np 0.000 0.977 0.434
```

2.
This record from the Alexandria database describes a geometry-optimized LaPrEr2Se6 structure. The functional is PBE-GGA.

Properties
* density: 5.9 g/cm3
* size of the total moment: 0.00 μB/f.u.
* space group: R3 (146)
* energy: -0.21501 hartree per atom

The structure in CIF format:
```
data_LaPrEr2Se6
_cell_length_a 7.385
_cell_length_b 7.385
_cell_length_c 7.743
_cell_angle_alpha 61.52
_cell_angle_beta 61.52
_cell_angle_gamma 60.00
_symmetry_space_group_name_H-M 'P 1'
_symmetry_Int_Tables_number 1
loop_
_symmetry_equiv_pos_as_xyz
'x,y,z'
loop_
_atom_site_label
_atom_site_type_symbol
_atom_site_fract_x
_atom_site_fract_y
_atom_site_fract_z
Pr1 Pr 0.311 0.311 0.068
La1 La 0.809 0.809 0.573
Se1 Se 0.892 0.633 0.243
Se2 Se 0.139 0.386 0.742
Er1 Er 0.013 0.013 0.960
Se3 Se 0.386 0.733 0.742
Se4 Se 0.232 0.892 0.243
Se5 Se 0.633 0.232 0.243
Er2 Er 0.514 0.514 0.458
Se6 Se 0.733 0.139 0.742
```

3.
This record from the Alexandria database describes a geometry-optimized Re3C structure. The functional is PBE-GGA.

Properties
* density: 17.1 g/cm3
* size of the total moment: 0.00 μB/f.u.
* energy relative to the lowest polymorph listed for this composition: 1.019 eV/atom
* space group: Cmcm (63)
* formation energy from the elements: 387 kJ/mol of formula units
* energy: -0.39100 hartree per atom

The structure in CIF format:
```
data_Re3C
_cell_length_a 5.973
_cell_length_b 5.973
_cell_length_c 3.894
_cell_angle_alpha 90.00
_cell_angle_beta 90.00
_cell_angle_gamma 126.89
_symmetry_space_group_name_H-M 'P 1'
_symmetry_Int_Tables_number 1
loop_
_symmetry_equiv_pos_as_xyz
'x,y,z'
loop_
_atom_site_label
_atom_site_type_symbol
_atom_site_fract_x
_atom_site_fract_y
_atom_site_fract_z
Re1 Re 0.347 0.169 0.750
Re2 Re 0.192 0.808 0.250
Re3 Re 0.831 0.653 0.750
Re4 Re 0.653 0.831 0.250
Re5 Re 0.808 0.192 0.750
C1 C 0.429 0.571 0.750
Re6 Re 0.169 0.347 0.250
C2 C 0.571 0.429 0.250
```

4.
This record from the Alexandria database describes a geometry-optimized AcSiHgO4 structure. The functional is PBE-GGA.

Properties
* density: 7.9 g/cm3
* size of the total moment: 0.00 μB/f.u.
* space group: Imma (74)
* energy: -0.23858 hartree per atom

The structure in CIF format:
```
data_AcSiHgO4
_cell_length_a 5.962
_cell_length_b 6.770
_cell_length_c 6.770
_cell_angle_alpha 72.17
_cell_angle_beta 63.88
_cell_angle_gamma 63.88
_symmetry_space_group_name_H-M 'P 1'
_symmetry_Int_Tables_number 1
loop_
_symmetry_equiv_pos_as_xyz
'x,y,z'
loop_
_atom_site_label
_atom_site_type_symbol
_atom_site_fract_x
_atom_site_fract_y
_atom_site_fract_z
Ac1 Ac 0.000 0.000 0.000
O1 O 0.751 0.728 0.228
Ac2 Ac 0.000 0.500 0.500
O2 O 0.293 0.728 0.228
Hg1 Hg 0.000 0.000 0.500
O3 O 0.249 0.272 0.772
Si1 Si 0.369 0.381 0.881
O4 O 0.728 0.696 0.848
O5 O 0.728 0.348 0.196
Si2 Si 0.631 0.619 0.119
O6 O 0.272 0.304 0.152
Hg2 Hg 0.500 0.000 0.500
O7 O 0.707 0.272 0.772
O8 O 0.272 0.652 0.804
```